(1)
The following is a DFT calculation (PBE) of crystalline Cs3Na8Li at its relaxed geometry.

CIF file:
```
data_Cs3Na8Li
_chemical_formula_sum 'Cs6 Na16 Li2'
_symmetry_space_group_name_H-M 'P 63 m c'
_symmetry_Int_Tables_number 186
_symmetry_space_group_name_Hall 'P 6c -2c'
_cell_length_a 13.0974
_cell_length_b 13.0974
_cell_length_c 8.5109
_cell_angle_alpha 90.00
_cell_angle_beta 90.00
_cell_angle_gamma 120.00
loop_
_atom_site_label
_atom_site_fract_x
_atom_site_fract_y
_atom_site_fract_z
Cs1 0.1589 0.3178 0.0000
Na1 0.0000 0.0000 0.2491
Na2 0.0118 0.5059 0.2453
Na3 0.2354 0.4709 0.4989
Na4 0.3333 0.6667 0.8309
Li1 0.3333 0.6667 0.2099
```

Output
M_tot: 0.00 μB per cell
Calculated formation energy: 0.06 eV per atom

---

(2)
The following is a DFT calculation (PBE) of crystalline CsNa10Li3 at its relaxed geometry.

CIF file:
```
data_CsNa10Li3
_chemical_formula_sum 'Cs8 Na80 Li24'
_symmetry_space_group_name_H-M 'F m -3 m'
_symmetry_Int_Tables_number 225
_symmetry_space_group_name_Hall '-F 4 2 3'
_cell_length_a 16.4155
_cell_length_b 16.4155
_cell_length_c 16.4155
_cell_angle_alpha 90.00
_cell_angle_beta 90.00
_cell_angle_gamma 90.00
loop_
_atom_site_label
_atom_site_fract_x
_atom_site_fract_y
_atom_site_fract_z
Cs1 0.2500 0.2500 0.2500
Na1 0.0000 0.1695 0.1695
Na2 0.1118 0.1118 0.3882
Li1 0.0000 0.0000 0.2694
```

Output
M_tot: 0.00 μB per cell
Calculated formation energy: 0.09 eV per atom

---

(3)
The following is a DFT calculation (PBE) of crystalline CsNa2Li at its relaxed geometry.

CIF file:
```
data_CsNa2Li
_chemical_formula_sum 'Cs3 Na6 Li3'
_symmetry_space_group_name_H-M 'R -3 m'
_symmetry_Int_Tables_number 166
_symmetry_space_group_name_Hall '-R 3 2"'
_cell_length_a 5.8111
_cell_length_b 5.8111
_cell_length_c 21.4751
_cell_angle_alpha 90.00
_cell_angle_beta 90.00
_cell_angle_gamma 120.00
loop_
_atom_site_label
_atom_site_fract_x
_atom_site_fract_y
_atom_site_fract_z
Cs1 0.0000 0.0000 0.0000
Na1 0.0000 0.0000 0.1972
Li1 0.0000 0.0000 0.5000
```

Output
Polymorph energy (0 for the lowest one): 0.0 meV per atom
M_tot: 0.00 μB per cell
Calculated formation energy: 0.09 eV per atom

---

(4)
The following is a DFT calculation (PBE) of crystalline CsNa2Li at its relaxed geometry.

CIF file:
```
data_CsNa2Li
_chemical_formula_sum 'Cs4 Na8 Li4'
_symmetry_space_group_name_H-M 'I -4 2 d'
_symmetry_Int_Tables_number 122
_symmetry_space_group_name_Hall 'I -4 2bw'
_cell_length_a 6.4575
_cell_length_b 6.4575
_cell_length_c 22.8960
_cell_angle_alpha 90.00
_cell_angle_beta 90.00
_cell_angle_gamma 90.00
loop_
_atom_site_label
_atom_site_fract_x
_atom_site_fract_y
_atom_site_fract_z
Cs1 0.0000 0.0000 0.0000
Na1 0.0078 0.2500 0.6250
Li1 0.0000 0.0000 0.5000
```

Output
Polymorph energy (0 for the lowest one): 91.7 meV per atom
M_tot: 0.00 μB per cell
Calculated formation energy: 0.19 eV per atom

---

(5)
The following is a DFT calculation (PBE) of crystalline CsNaLi at its relaxed geometry.

CIF file:
```
data_CsNaLi
_chemical_formula_sum 'Cs1 Na1 Li1'
_symmetry_space_group_name_H-M 'P 3 m 1'
_symmetry_Int_Tables_number 156
_symmetry_space_group_name_Hall 'P 3 -2"'
_cell_length_a 6.2001
_cell_length_b 6.2001
_cell_length_c 4.9224
_cell_angle_alpha 90.00
_cell_angle_beta 90.00
_cell_angle_gamma 120.00
loop_
_atom_site_label
_atom_site_fract_x
_atom_site_fract_y
_atom_site_fract_z
Cs1 0.0000 0.0000 0.0000
Na1 0.3333 0.6667 0.4991
Li1 0.6667 0.3333 0.4987
```

Output
Polymorph energy (0 for the lowest one): 59.6 meV per atom
M_tot: 0.00 μB per cell
Calculated formation energy: 0.16 eV per atom

---

(6)
The following is a DFT calculation (PBE) of crystalline CsNa2Li at its relaxed geometry.

CIF file:
```
data_CsNa2Li
_chemical_formula_sum 'Cs1 Na2 Li1'
_symmetry_space_group_name_H-M 'P 4/m m m'
_symmetry_Int_Tables_number 123
_symmetry_space_group_name_Hall '-P 4 2'
_cell_length_a 5.8218
_cell_length_b 5.8218
_cell_length_c 5.8594
_cell_angle_alpha 90.00
_cell_angle_beta 90.00
_cell_angle_gamma 90.00
loop_
_atom_site_label
_atom_site_fract_x
_atom_site_fract_y
_atom_site_fract_z
Cs1 0.0000 0.0000 0.0000
Na1 0.0000 0.5000 0.5000
Li1 0.5000 0.5000 0.0000
```

Output
Polymorph energy (0 for the lowest one): 90.0 meV per atom
M_tot: 0.00 μB per cell
Calculated formation energy: 0.18 eV per atom

---

(7)
The following is a DFT calculation (PBE) of crystalline CsNa3Li3 at its relaxed geometry.

CIF file:
```
data_CsNa3Li3
_chemical_formula_sum 'Cs2 Na6 Li6'
_symmetry_space_group_name_H-M 'P m -3 n'
_symmetry_Int_Tables_number 223
_symmetry_space_group_name_Hall '-P 4n 2 3'
_cell_length_a 8.6249
_cell_length_b 8.6249
_cell_length_c 8.6249
_cell_angle_alpha 90.00
_cell_angle_beta 90.00
_cell_angle_gamma 90.00
loop_
_atom_site_label
_atom_site_fract_x
_atom_site_fract_y
_atom_site_fract_z
Cs1 0.0000 0.0000 0.0000
Na1 0.0000 0.2500 0.5000
Li1 0.0000 0.5000 0.2500
```

Output
M_tot: 0.00 μB per cell
Calculated formation energy: 0.26 eV per atom

---

(8)
The following is a DFT calculation (PBE) of crystalline CsNaLi at its relaxed geometry.

CIF file:
```
data_CsNaLi
_chemical_formula_sum 'Cs2 Na2 Li2'
_symmetry_space_group_name_H-M 'I 4 m m'
_symmetry_Int_Tables_number 107
_symmetry_space_group_name_Hall 'I 4 -2'
_cell_length_a 4.5372
_cell_length_b 4.5372
_cell_length_c 14.8393
_cell_angle_alpha 90.00
_cell_angle_beta 90.00
_cell_angle_gamma 90.00
loop_
_atom_site_label
_atom_site_fract_x
_atom_site_fract_y
_atom_site_fract_z
Cs1 0.0000 0.0000 0.0000
Na1 0.0000 0.0000 0.7195
Li1 0.0000 0.0000 0.2906
```

Output
Polymorph energy (0 for the lowest one): 35.9 meV per atom
M_tot: 0.09 μB per cell
Calculated formation energy: 0.13 eV per atom